{
  "formula": "ScBeHg",
  "functional": "PBE-GGA",
  "state": "relaxed",
  "cell": [[4.280, 0.000, 0.000], [-2.140, 3.707, 0.000], [0.000, 0.000, 3.354]],
  "species": ["Hg", "Sc", "Be"],
  "fractional_positions": [[0.667, 0.333, 0.167], [0.333, 0.667, 0.667], [0.000, 0.000, 0.166]],
  "energy_ev_per_cell": -10.9,
  "volume_a3_per_cell": 53.2
}

---

{
  "formula": "ScBe2Hg",
  "functional": "PBE-GGA",
  "state": "relaxed",
  "cell": [[-2.557, -3.554, -1.127], [1.770, -2.646, 3.211], [-2.031, 3.983, 0.671]],
  "species": ["Be", "Be", "Hg", "Sc"],
  "fractional_positions": [[0.959, 0.959, 0.000], [0.788, 0.288, 0.500], [0.517, 0.517, 0.000], [0.236, 0.736, 0.500]],
  "energy_ev_per_cell": -13.5,
  "volume_a3_per_cell": 62.7
}

---

{
  "formula": "ScBe2Hg",
  "functional": "PBE-GGA",
  "state": "relaxed",
  "cell": [[-0.544, 1.036, -2.854], [2.211, -1.852, -1.093], [-4.386, -4.720, -0.877]],
  "species": ["Be", "Be", "Hg", "Sc"],
  "fractional_positions": [[0.000, 0.000, 0.023], [0.000, 0.000, 0.477], [0.500, 0.500, 0.250], [0.500, 0.500, 0.750]],
  "energy_ev_per_cell": -13.2,
  "volume_a3_per_cell": 61.9
}

---

{
  "formula": "ScBe2Hg",
  "functional": "PBE-GGA",
  "state": "relaxed",
  "cell": [[-2.996, 2.414, -0.232], [-3.333, -1.211, -1.509], [-3.633, -1.051, 3.944]],
  "species": ["Be", "Be", "Sc", "Hg"],
  "fractional_positions": [[0.049, 0.049, 0.854], [0.714, 0.714, 0.859], [0.267, 0.267, 0.199], [0.471, 0.471, 0.589]],
  "energy_ev_per_cell": -14.0,
  "volume_a3_per_cell": 64.2
}